Crystalline BrCl6F2 at its relaxed geometry. Source: Alexandria, functional GGA-PBE.

Unit cell a=6.2010 b=10.0958 c=9.4766 alpha=90.00 beta=92.53 gamma=90.00
With the nearest neighbours (Å) after each atom.
Space group P2_1/c (No. 14)
Inequivalent atoms, fractional coordinates:
Br 0.0000 0.0000 0.0000  4 Cl 2.32-2.52
Cl 0.1150 0.2097 0.9385  1 Br 2.32
Cl 0.2711 0.6856 0.8252  1 F 1.78
Cl 0.3094 0.5952 0.3693  1 Cl 2.26, 1 Br 2.52
F 0.2565 0.5143 0.7795  1 Cl 1.78

Results
Crystal system: monoclinic
Total DFT energy (no corrections) in eV/cell: -34.53

=====

Crystalline Br3ClF at its relaxed geometry. Source: Alexandria, functional GGA-PBE.

Unit cell a=4.9976 b=4.9976 c=4.9976 alpha=90.00 beta=90.00 gamma=90.00
With the nearest neighbours (Å) after each atom.
Space group Pm-3m (No. 221)
Inequivalent atoms, fractional coordinates:
Br 0.0000 0.0000 0.5000  2 F 2.50
Cl 0.5000 0.5000 0.5000  12 Br 3.53
F 0.0000 0.0000 0.0000  6 Br 2.50

Results
Crystal system: cubic
Total DFT energy (no corrections) in eV/cell: -5.79

=====

Crystalline BrCl5F at its relaxed geometry. Source: Alexandria, functional GGA-PBE.

Unit cell a=10.7603 b=10.3148 c=5.4923 alpha=90.00 beta=114.71 gamma=90.00
With the nearest neighbours (Å) after each atom.
Space group Cm (No. 8)
Inequivalent atoms, fractional coordinates:
Br 0.0000 0.0000 0.0000  3 Cl 2.33-2.58
Cl 0.0241 0.2226 0.9654  1 Br 2.33
Cl 0.2396 0.5000 0.7117  1 F 1.74
Cl 0.2563 0.0000 0.6387  1 Cl 1.99
Cl 0.4013 0.0000 0.0114  1 Cl 1.99
F 0.0623 0.5000 0.5337  1 Cl 1.74

Results
Crystal system: monoclinic
Total DFT energy (no corrections) in eV/cell: -25.91

=====

Crystalline Br2ClF at its relaxed geometry. Source: Alexandria, functional GGA-PBE.

Unit cell a=4.9821 b=4.9821 c=16.9547 alpha=90.00 beta=90.00 gamma=90.00
With the nearest neighbours (Å) after each atom.
Space group I-42d (No. 122)
Inequivalent atoms, fractional coordinates:
Br 0.0776 0.2500 0.1250  2 F 2.49, 2 Br 2.61
Cl 0.0000 0.0000 0.5000  4 Br 3.24, 4 F 3.52
F 0.0000 0.0000 0.0000  4 Br 2.49

Results
Crystal system: tetragonal
Total DFT energy (no corrections) in eV/cell: -23.24

=====

Crystalline BrClF at its relaxed geometry. Source: Alexandria, functional GGA-PBE.

Unit cell a=7.8895 b=5.6550 c=7.2102 alpha=90.00 beta=90.00 gamma=90.00
With the nearest neighbours (Å) after each atom.
Space group Pnma (No. 62)
Inequivalent atoms, fractional coordinates:
Br 0.0930 0.2500 0.1584  1 F 1.91
Cl 0.0394 0.2500 0.8477  1 Br 2.28
F 0.1407 0.2500 0.4180  1 Br 1.91

Results
Crystal system: orthorhombic
Total DFT energy (no corrections) in eV/cell: -25.45

=====

Crystalline Br2ClF at its relaxed geometry. Source: Alexandria, functional GGA-PBE.

Unit cell a=3.5227 b=3.5227 c=25.7534 alpha=90.00 beta=90.00 gamma=120.00
With the nearest neighbours (Å) after each atom.
Space group R-3m (No. 166, hexagonal axes)
Inequivalent atoms, fractional coordinates:
Br 0.0000 0.0000 0.0928  1 Cl 2.39
Cl 0.0000 0.0000 0.0000  2 Br 2.39
F 0.0000 0.0000 0.5000  6 Br 2.79

Results
Crystal system: trigonal
Total DFT energy (no corrections) in eV/cell: -19.11

=====

Crystalline BrCl3F12 at its relaxed geometry. Source: Alexandria, functional GGA-PBE.

Unit cell a=8.4547 b=8.4547 c=33.5620 alpha=90.00 beta=90.00 gamma=120.00
With the nearest neighbours (Å) after each atom.
Space group R3c (No. 161, hexagonal axes)
Inequivalent atoms, fractional coordinates:
Br 0.0000 0.0000 0.0000  3 F 1.87
Cl 0.0623 0.2623 0.3998  2 F 1.68
F 0.0744 0.4029 0.7530  1 Cl 1.68
F 0.1679 0.4473 0.5415  2 Cl 2.03-2.06
F 0.1735 0.4149 0.6656  1 Br 1.87
F 0.1823 0.4343 0.9201  1 Cl 1.68

Results
Crystal system: trigonal
Total DFT energy (no corrections) in eV/cell: -242.08

=====

Crystalline Br3Cl4F2 at its relaxed geometry. Source: Alexandria, functional GGA-PBE.

Unit cell a=14.5209 b=8.8281 c=9.0883 alpha=90.00 beta=98.37 gamma=90.00
With the nearest neighbours (Å) after each atom.
Space group C2/c (No. 15)
Inequivalent atoms, fractional coordinates:
Br 0.0000 0.1061 0.2500  2 Cl 2.41
Br 0.1865 0.4606 0.0136  2 Cl 2.39-2.43
Cl 0.0917 0.2829 0.1307  2 Br 2.41-2.43
Cl 0.1605 0.3044 0.6303  1 F 1.83
F 0.1457 0.1228 0.7203  1 Cl 1.83

Results
Crystal system: monoclinic
Total DFT energy (no corrections) in eV/cell: -68.99

=====

no.,E_form (uncorrected) (eV/atom)
1,-0.09
2,0.59
3,-0.03
4,0.31
5,-0.32
6,0.17
7,-0.67
8,-0.12